[1]
A plane-wave DFT calculation with PBE was carried out for La2Sm6YHo3 after structural relaxation.

Calculated values
- Energy relative to the elements: 0.021 eV per atom
- ρ: 7280 kg/m3
- DOS at the Fermi energy: 1.4275 states/eV/atom
- Space group: No. 12

a b c (Å): 6.272 6.272 11.996
angles (deg): 95.01 95.01 120.01
Positions (direct):
La 0.333 0.667 0.000
La 0.667 0.333 0.000
Sm 0.915 0.583 0.745
Sm 0.752 0.752 0.256
Sm 0.085 0.417 0.255
Sm 0.583 0.915 0.745
Sm 0.248 0.248 0.744
Sm 0.417 0.085 0.255
Y 0.000 0.000 0.000
Ho 0.166 0.834 0.500
Ho 0.834 0.166 0.500
Ho 0.500 0.500 0.500

[2]
A plane-wave DFT calculation with PBE was carried out for La2SmY5Ho after structural relaxation.

Calculated values
- Energy relative to the elements: 0.242 eV per atom
- ρ: 5768 kg/m3
- DOS at the Fermi energy: 1.3788 states/eV/atom
- Space group: No. 140

a b c (Å): 8.649 8.649 10.059
angles (deg): 115.46 115.46 90.00
Positions (direct):
La 0.118 0.382 0.000
La 0.618 0.118 0.000
La 0.382 0.882 0.000
La 0.882 0.618 0.000
Sm 0.250 0.750 0.500
Sm 0.750 0.250 0.500
Y 0.928 0.428 0.283
Y 0.645 0.145 0.717
Y 0.072 0.572 0.717
Y 0.145 0.072 0.717
Y 0.572 0.645 0.717
Y 0.855 0.928 0.283
Y 0.428 0.355 0.283
Y 0.355 0.855 0.283
Y 0.500 0.500 0.000
Y 0.000 0.000 0.000
Ho 0.250 0.250 0.500
Ho 0.750 0.750 0.500